VASP calculation (GGA+U) on a relaxed structure of CaNiBP2H3O10.

Geometry as POSCAR:
```
CaNiBP2H3O10
1.0
5.1858 -4.2158 0.0000
5.1858 4.2158 0.0000
-4.0040 0.0000 8.3183
Ca Ni B P H O
2 2 2 4 6 20
direct
0.1254 0.8746 0.7500
0.8746 0.1254 0.2500
0.0000 0.5000 0.0000
0.5000 0.0000 0.5000
0.4718 0.5282 0.2500
0.5282 0.4718 0.7500
0.1533 0.2826 0.6729
0.2826 0.1533 0.1729
0.7174 0.8467 0.8271
0.8467 0.7174 0.3271
0.0000 0.5000 0.5000
0.3060 0.6623 0.4154
0.3377 0.6940 0.0846
0.5000 0.0000 0.0000
0.6623 0.3060 0.9154
0.6940 0.3377 0.5846
0.0289 0.6543 0.4711
0.0613 0.2663 0.7986
0.0612 0.2690 0.1138
0.2663 0.0613 0.2986
0.2690 0.0612 0.6138
0.3000 0.4700 0.7431
0.3231 0.5609 0.1007
0.3457 0.9711 0.0289
0.4391 0.6769 0.3993
0.4700 0.3000 0.2431
0.5300 0.7000 0.7569
0.5609 0.3231 0.6007
0.6543 0.0289 0.9711
0.6769 0.4391 0.8993
0.7000 0.5300 0.2569
0.7310 0.9388 0.3862
0.7337 0.9387 0.7014
0.9388 0.7310 0.8862
0.9387 0.7337 0.2014
0.9711 0.3457 0.5289
```

## Properties
Final energy, eV/cell: -236.263
Size of the total moment, μB per atom: 0.11
V, Å³/f.u.: 181.9